[1]
Entry from Alexandria via LeMat-Bulk: Co2Cu2Hg after structural relaxation (PBE).

The energy above the most stable polymorph in this dataset comes out at 0.0000 eV/atom. The calculation puts the total energy at -41.557 eV per cell. The value obtained for the magnetic moment is 6.4 Bohr magnetons per cell. The value obtained for the energy of formation is 386 meV per atom.

The space group is P4/mbm (No. 127) and the conventional cell measures 7.100, 7.100 and 2.736 Å, with angles of 90.00, 90.00 and 90.00 degrees. The inequivalent atoms are Co at (0.114, 0.386, 0.000), Cu at (0.177, 0.677, 0.500) and Hg at (0.000, 0.000, 0.000).

---

[2]
Entry from Alexandria via LeMat-Bulk: TaReSi after structural relaxation (PBE).

The calculation puts the total energy at -185.846 eV per cell. The value obtained for the magnetic moment is 0.0 Bohr magnetons per cell. The formation energy (no corrections) comes out at -1.25 eV per formula unit.

The space group is Pmma (No. 51) and the conventional cell measures 11.995, 3.299 and 6.833 Å, with angles of 90.00, 90.00 and 90.00 degrees. The inequivalent atoms are Ta at (0.045, 0.000, 0.234), Ta at (0.250, 0.000, 0.823), Re at (0.118, 0.500, 0.563), Re at (0.250, 0.500, 0.173), Si at (0.093, 0.500, 0.937) and Si at (0.250, 0.000, 0.432).

---

[3]
Entry from Alexandria via LeMat-Bulk: NaTaO2F after structural relaxation (PBE).

The calculation puts the total energy at -37.059 eV per cell. The value obtained for the magnetic moment is 0.6 Bohr magnetons per cell. The formation energy (no corrections) comes out at -12.10 eV per formula unit.

The space group is P4/mmm (No. 123) and the conventional cell measures 3.994, 3.994 and 4.213 Å, with angles of 90.00, 90.00 and 90.00 degrees. The inequivalent atoms are Na at (0.000, 0.000, 0.000), Ta at (0.500, 0.500, 0.500), O at (0.000, 0.500, 0.500) and F at (0.500, 0.500, 0.000).